Record 1
Ho2TePd: relaxed, PBE-GGA.

```
4
Lattice="-3.847 1.455 0.082 -3.050 -2.330 1.482 -1.125 2.437 7.227" Properties=species:S:1:pos:R:3 pbc="T T T"
Ho -5.975 1.267 6.827
Ho -2.047 0.295 1.963
Pd 0.000 0.000 0.000
Te -4.011 0.781 4.395
```

Properties
**Total magnetic moment**: 0.00 μB/atom
**Formation energy (no corrections)**: -1.04 eV/atom
**Energy above the lowest structure with this stoichiometry**: 31 meV/atom
**SG**: R-3m, No. 166

---

Record 2
K2CrHg: relaxed, PBE-GGA.

```
4
Lattice="5.738 0.000 0.000 2.869 4.969 0.000 2.869 1.656 4.685" Properties=species:S:1:pos:R:3 pbc="T T T"
K 0.000 0.000 0.000
K 2.869 1.656 1.171
Hg 8.607 4.969 3.514
Cr 5.738 3.313 2.343
```

Properties
**Total magnetic moment**: 1.33 μB/atom
**ΔH_f (0 K)**: 0.501 eV/atom
**SG**: F-43m, No. 216

---

Record 3
PaIBr: relaxed, PBE-GGA.

```
3
Lattice="-3.649 0.010 -0.149 -0.214 -0.743 5.175 0.093 4.857 -1.944" Properties=species:S:1:pos:R:3 pbc="T T T"
I -2.547 1.130 2.702
Pa -0.604 0.002 -0.025
Br -0.619 2.992 0.404
```

Properties
**Total magnetic moment**: 0.75 μB/atom
**Formation energy (no corrections)**: -0.51 eV/atom
**Energy above the lowest structure with this stoichiometry**: 458 meV/atom
**SG**: P3m1, No. 156

---

Record 4
Ba5Au3: relaxed, PBE-GGA.

```
16
Lattice="-5.801 2.008 7.710 1.663 -9.357 -2.611 5.978 -0.208 4.552" Properties=species:S:1:pos:R:3 pbc="T T T"
Ba -1.556 -5.468 4.896
Ba 2.163 -5.673 3.105
Ba 0.208 1.324 9.096
Ba 1.932 -2.513 0.451
Ba -0.031 0.476 3.166
Ba -3.313 -1.780 4.270
Ba 3.395 -2.089 4.755
Ba 5.709 -7.052 1.489
Ba -0.825 -5.569 0.829
Ba -0.325 -1.884 6.546
Au -0.114 -2.908 3.119
Au 2.229 0.624 6.410
Au 2.511 -5.773 -0.459
Au -2.053 1.176 5.852
Au 5.129 -3.792 2.399
Au 1.953 -4.649 6.532
```

Properties
**Total magnetic moment**: 0.00 μB/atom
**Energy above the lowest structure with this stoichiometry**: 4 meV/atom
**ΔH_f (0 K)**: -0.544 eV/atom
**SG**: P6_3/mcm, No. 193

---

Record 5
BiBOsAu2: relaxed, PBE-GGA.

```
5
Lattice="-0.612 3.303 -3.960 -3.423 -1.724 -0.909 -2.496 3.300 3.138" Properties=species:S:1:pos:R:3 pbc="T T T"
B -1.711 -0.862 -0.455
Au -0.306 1.652 -1.980
Au -1.248 1.650 1.569
Bi -3.265 2.439 -0.865
Os 0.000 0.000 0.000
```

Properties
**Total magnetic moment**: 0.00 μB/atom
**ΔH_f (0 K)**: 0.868 eV/atom
**SG**: P4/mmm, No. 123

---

Record 6
ReSbCl2: relaxed, PBE-GGA.

```
4
Lattice="-2.424 -3.235 -6.411 0.536 -2.727 -7.051 0.866 -4.721 0.258" Properties=species:S:1:pos:R:3 pbc="T T T"
Sb -0.256 -2.671 -3.301
Re -0.767 -8.012 -9.903
Cl 0.567 -4.853 -1.227
Cl -0.213 -5.210 -5.117
```

Properties
**Total magnetic moment**: 0.00 μB/atom
**Formation energy (no corrections)**: 0.16 eV/atom
**Energy above the lowest structure with this stoichiometry**: 150 meV/atom
**SG**: Immm, No. 71

---

Record 7
UIrPt2: relaxed, PBE-GGA.

```
4
Lattice="-3.195 0.257 2.379 1.356 -3.076 2.153 3.087 4.196 0.344" Properties=species:S:1:pos:R:3 pbc="T T T"
Pt 1.762 -0.145 2.382
Pt -0.514 1.522 2.495
U 0.000 0.000 0.000
Ir -0.920 -1.410 2.266
```

Properties
**Total magnetic moment**: 0.19 μB/atom
**ΔH_f (0 K)**: -0.607 eV/atom
**SG**: I4/mmm, No. 139

---

Record 8
Sr2MnCr: relaxed, PBE-GGA.

```
8
Lattice="-10.158 -5.036 3.724 1.660 -9.007 -7.650 -3.147 -8.115 -0.437" Properties=species:S:1:pos:R:3 pbc="T T T"
Cr -4.249 -7.021 -1.963
Cr -2.868 -12.072 -5.025
Mn 0.000 0.000 0.000
Mn -8.777 -10.086 0.663
Sr -9.353 -12.419 -1.369
Sr -8.751 -7.206 1.931
Sr -11.158 -10.983 2.515
Sr -5.845 -9.735 -0.426
```

Properties
**Total magnetic moment**: 0.05 μB/atom
**Energy above the lowest structure with this stoichiometry**: 231 meV/atom
**ΔH_f (0 K)**: 0.709 eV/atom
**SG**: I-42d, No. 122

---

Record 9
Ca4Np3TcN8: relaxed, PBE-GGA.

```
16
Lattice="-0.275 -5.534 -3.812 0.566 -3.905 5.627 -4.919 4.574 -0.351" Properties=species:S:1:pos:R:3 pbc="T T T"
Ca -2.597 -0.480 -2.082
Ca -2.459 2.287 -0.176
Ca 0.000 0.000 0.000
Ca -0.138 -2.767 -1.906
N -4.457 0.332 2.767
N -2.471 -0.153 0.400
N -2.030 -1.925 2.941
N -2.158 -4.712 1.063
N -4.593 -2.399 0.886
N -2.598 -2.940 -1.478
N -0.171 -5.197 -1.304
N -0.036 -2.466 0.578
Tc 0.283 -1.952 2.814
Np -2.177 0.334 2.638
Np 0.145 -4.719 0.908
Np -2.314 -2.432 0.732
```

Properties
**Total magnetic moment**: 0.37 μB/atom
**Formation energy (no corrections)**: -1.02 eV/atom
**SG**: R-3m, No. 166

---

Record 10
TaMn5Os: relaxed, PBE-GGA.

```
28
Lattice="-0.501 -4.194 1.937 3.567 2.546 6.434 -8.666 2.752 3.716" Properties=species:S:1:pos:R:3 pbc="T T T"
Mn -1.682 0.620 9.265
Mn -0.371 -0.524 4.437
Mn -5.751 -0.301 6.220
Mn -0.613 -2.550 5.372
Mn 0.359 1.084 8.105
Mn -1.590 0.119 2.631
Mn -5.960 0.021 3.982
Mn -4.987 3.654 6.715
Mn -3.918 0.485 2.822
Mn -5.229 1.629 7.651
Mn 0.117 -0.942 9.041
Mn -5.718 2.047 3.046
Mn -3.471 -0.122 7.196
Mn -4.010 0.986 9.456
Mn -7.356 0.582 7.716
Mn 0.151 1.405 5.867
Mn -8.108 -0.489 5.202
Mn -2.129 1.227 4.891
Mn 1.756 0.523 4.371
Mn 2.507 1.594 6.885
Os -4.463 1.668 5.242
Os -1.138 -0.563 6.845
Os -4.408 3.490 9.200
Os -1.193 -2.385 2.887
Ta -7.380 2.157 5.546
Ta 1.780 -1.052 6.541
Ta -2.338 2.395 7.366
Ta -3.262 -1.290 4.721
```

Properties
**Total magnetic moment**: 0.32 μB/atom
**ΔH_f (0 K)**: -0.081 eV/atom
**SG**: Pnma, No. 62

---

Record 11
IrPb2Au: relaxed, PBE-GGA.

```
4
Lattice="-1.932 -2.919 -3.563 2.263 -0.354 -4.439 2.318 -4.232 -1.291" Properties=species:S:1:pos:R:3 pbc="T T T"
Ir 1.987 -5.629 -6.969
Pb 0.000 0.000 0.000
Pb 0.662 -1.876 -2.323
Au 1.325 -3.753 -4.646
```

Properties
**Total magnetic moment**: 0.00 μB/atom
**Energy above the lowest structure with this stoichiometry**: 304 meV/atom
**ΔH_f (0 K)**: 0.491 eV/atom
**SG**: F-43m, No. 216

---

Record 12
La2GaSO: relaxed, PBE-GGA.

```
5
Lattice="-1.079 -4.573 -3.202 1.167 -2.706 3.471 -5.389 0.002 1.813" Properties=species:S:1:pos:R:3 pbc="T T T"
La -2.694 0.001 0.907
La -0.539 -2.286 -1.601
S 0.584 -1.353 1.736
O -2.650 -3.639 1.041
Ga 0.000 0.000 0.000
```

Properties
**Total magnetic moment**: 0.00 μB/atom
**Formation energy (no corrections)**: -0.25 eV/atom
**SG**: P4/mmm, No. 123